Record 1
Material: TbPuBi2O8
Method: DFT, PBE
State: relaxed

Calculated values
* raw formation energy: -2115 meV/atom
* M_tot: 0.083 μB/atom
* VASP energy: -7.6473 eV/atom

a b c (Å): 5.2683 7.0114 5.2689
angles (deg): 90.00 90.35 90.00
Closest atoms and distances in Å follow each position.
Fractional positions:
Tb  0.0000  0.0000  0.0000  6 O 2.31-2.32
Pu  0.0000  0.5000  0.0000  6 O 1.92-2.10
Bi  0.5000  0.2413  0.5000  4 O 2.22-2.38
Bi  0.5000  0.7587  0.5000  4 O 2.22-2.38
O  0.1818  0.2702  0.1806  1 Pu 2.10, 1 Tb 2.32
O  0.1818  0.7298  0.1806  1 Pu 2.10, 1 Tb 2.32
O  0.2562  0.5000  0.7425  1 Pu 1.92
O  0.3082  0.0000  0.6910  2 Bi 2.22, 1 Tb 2.31
O  0.6918  0.0000  0.3090  2 Bi 2.22, 1 Tb 2.31
O  0.7438  0.5000  0.2575  1 Pu 1.92
O  0.8182  0.2702  0.8194  1 Pu 2.10, 1 Tb 2.32
O  0.8182  0.7298  0.8194  1 Pu 2.10, 1 Tb 2.32

***

Record 2
Material: Li3Mn
Method: DFT, PBE
State: relaxed

Calculated values
* Fermi-level density of states: 8.172 states/eV per cell
* M_tot: 0.510 μB/atom
* formation energy: 0.297 eV/atom
* VASP energy: -3.4312 eV/atom

a b c (Å): 4.1493 8.7104 6.9155
angles (deg): 90.00 90.00 90.00
Closest atoms and distances in Å follow each position.
Fractional positions:
Li  0.2486  0.2500  0.0792  3 Mn 2.66-2.81, 8 Li 2.71-2.90
Li  0.2497  0.0192  0.3822  8 Li 2.66-2.90, 2 Mn 2.68-2.95
Li  0.2497  0.4808  0.3822  8 Li 2.66-2.90, 2 Mn 2.68-2.95
Li  0.2503  0.5192  0.8822  8 Li 2.66-2.90, 2 Mn 2.68-2.95
Li  0.2503  0.9808  0.8822  8 Li 2.66-2.90, 2 Mn 2.68-2.95
Li  0.2514  0.7500  0.5792  3 Mn 2.66-2.81, 8 Li 2.71-2.90
Li  0.7486  0.2500  0.4208  3 Mn 2.66-2.81, 8 Li 2.71-2.90
Li  0.7497  0.0192  0.1178  8 Li 2.66-2.90, 2 Mn 2.68-2.95
Li  0.7497  0.4808  0.1178  8 Li 2.66-2.90, 2 Mn 2.68-2.95
Li  0.7503  0.5192  0.6178  8 Li 2.66-2.90, 2 Mn 2.68-2.95
Li  0.7503  0.9808  0.6178  8 Li 2.66-2.90, 2 Mn 2.68-2.95
Li  0.7514  0.7500  0.9208  3 Mn 2.66-2.81, 8 Li 2.71-2.90
Mn  0.2483  0.2500  0.6941  2 Mn 2.21
Mn  0.2517  0.7500  0.1941  2 Mn 2.21
Mn  0.7483  0.2500  0.8059  2 Mn 2.21
Mn  0.7517  0.7500  0.3059  2 Mn 2.21

***

Record 3
Material: Ho2AsPb
Method: DFT, PBE
State: relaxed

Calculated values
* Fermi-level density of states: 1.480 states/eV per cell
* excess energy over the best structure of this formula in the dataset: 0.0 meV per atom
* M_tot: 0.000 μB/atom
* formation energy: -0.975 eV/atom
* VASP energy: -5.3535 eV/atom

a b c (Å): 8.1247 8.1247 8.1247
angles (deg): 28.66 28.66 28.66
Closest atoms and distances in Å follow each position.
Fractional positions:
Ho  0.2369  0.2369  0.2369  3 As 2.84
Ho  0.7631  0.7631  0.7631  3 As 2.84
As  0.5000  0.5000  0.5000  6 Ho 2.84
Pb  0.0000  0.0000  0.0000  6 Ho 3.23